w:
## ScTcPt2 (GGA-PBEsol)

Data for ScTcPt2 after structural relaxation.

The structure in CIF format:
```
data_ScTcPt2
_chemical_formula_sum 'Sc1 Tc1 Pt2'
_cell_length_a 3.388
_cell_length_b 3.388
_cell_length_c 5.524
_cell_angle_alpha 90.00
_cell_angle_beta 90.00
_cell_angle_gamma 90.00
_space_group_name_H-M_alt 'P 4/m m m'
_space_group_IT_number 123
_space_group_name_Hall '-P 4 2'
loop_
_atom_site_label
_atom_site_fract_x
_atom_site_fract_y
_atom_site_fract_z
Sc1 0.000 0.000 0.000
Tc1 0.000 0.000 0.500
Pt1 0.500 0.500 0.261
```

Calculated values
* magnetization: 0.52 μB/cell

***

x:
## ScTcPt2 (GGA-PBEsol)

Data for ScTcPt2 after structural relaxation.

The structure in CIF format:
```
data_ScTcPt2
_chemical_formula_sum 'Sc1 Tc1 Pt2'
_cell_length_a 2.823
_cell_length_b 3.872
_cell_length_c 5.747
_cell_angle_alpha 90.00
_cell_angle_beta 90.00
_cell_angle_gamma 90.00
_space_group_name_H-M_alt 'P m m 2'
_space_group_IT_number 25
loop_
_space_group_symop_operation_xyz
'x,y,z'
'-x,-y,z'
'-x,y,z'
'x,-y,z'
loop_
_atom_site_label
_atom_site_fract_x
_atom_site_fract_y
_atom_site_fract_z
Sc1 0.000 0.000 0.000
Tc1 0.500 0.500 0.295
Pt1 0.000 0.000 0.487
Pt2 0.500 0.500 0.766
```

Calculated values
* magnetization: 0.00 μB/cell

***

Computed energies relative to the best structure, in meV/atom: w 30; x 0